# NpAg5S8, optimized geometry, DFT GGA-PBE
data_NpAg5S8
_chemical_formula_sum 'Np1 Ag5 S8'
_space_group_name_H-M_alt 'P 1'
_space_group_IT_number 1
_cell_length_a 7.700
_cell_length_b 7.700
_cell_length_c 7.700
_cell_angle_alpha 101.38
_cell_angle_beta 101.38
_cell_angle_gamma 127.25
loop_
_space_group_symop_operation_xyz
'x,y,z'
loop_
_atom_site_label
_atom_site_fract_x
_atom_site_fract_y
_atom_site_fract_z
_atom_site_occupancy
Np1 0.250 0.750 0.500 1
Ag1 0.945 0.064 0.790 1
Ag2 0.936 0.725 0.881 1
Ag3 0.275 0.156 0.210 1
Ag4 0.500 0.500 0.000 1
Ag5 0.844 0.055 0.119 1
S1 0.900 0.618 0.184 1
S2 0.382 0.565 0.282 1
S3 0.663 0.933 0.450 1
S4 0.067 0.517 0.730 1
S5 0.787 0.337 0.270 1
S6 0.283 0.100 0.718 1
S7 0.435 0.717 0.816 1
S8 0.483 0.213 0.550 1
# Total magnetic moment ... 1.96 μB/f.u.
# Calculated total energy ... -61.92 eV for the cell shown
# Space-group type ... I-4, No. 82
# Formation energy from raw total energies ... -0.122 eV/atom

---

# Nd12Co3N5, optimized geometry, DFT GGA-PBE
data_Nd12Co3N5
_chemical_formula_sum 'Nd48 Co12 N20'
_space_group_name_H-M_alt 'P 1'
_space_group_IT_number 1
_cell_length_a 13.537
_cell_length_b 13.537
_cell_length_c 13.537
_cell_angle_alpha 109.47
_cell_angle_beta 109.47
_cell_angle_gamma 109.47
loop_
_space_group_symop_operation_xyz
'x,y,z'
loop_
_atom_site_label
_atom_site_fract_x
_atom_site_fract_y
_atom_site_fract_z
_atom_site_occupancy
Co1 0.750 0.375 0.125 1
Co2 0.875 0.750 0.125 1
Co3 0.375 0.750 0.625 1
Co4 0.250 0.125 0.375 1
Co5 0.875 0.125 0.250 1
Co6 0.375 0.625 0.250 1
Co7 0.625 0.375 0.750 1
Co8 0.125 0.875 0.750 1
Co9 0.750 0.875 0.625 1
Co10 0.625 0.250 0.375 1
Co11 0.125 0.250 0.875 1
Co12 0.250 0.625 0.875 1
N1 0.125 0.375 0.250 1
N2 0.000 0.500 0.000 1
N3 0.000 0.000 0.000 1
N4 0.375 0.250 0.125 1
N5 0.500 0.000 0.500 1
N6 0.500 0.500 0.000 1
N7 0.125 0.750 0.375 1
N8 0.750 0.125 0.875 1
N9 0.750 0.625 0.375 1
N10 0.375 0.125 0.750 1
N11 0.625 0.875 0.250 1
N12 0.500 0.500 0.500 1
N13 0.500 0.000 0.000 1
N14 0.000 0.000 0.500 1
N15 0.250 0.375 0.625 1
N16 0.250 0.875 0.125 1
N17 0.000 0.500 0.500 1
N18 0.875 0.250 0.625 1
N19 0.625 0.750 0.875 1
N20 0.875 0.625 0.750 1
Nd1 0.707 0.121 0.027 1
Nd2 0.319 0.527 0.406 1
Nd3 0.973 0.379 0.293 1
Nd4 0.527 0.207 0.121 1
Nd5 0.587 0.707 0.681 1
Nd6 0.973 0.594 0.181 1
Nd7 0.319 0.793 0.413 1
Nd8 0.094 0.913 0.121 1
Nd9 0.594 0.973 0.681 1
Nd10 0.707 0.587 0.181 1
Nd11 0.793 0.473 0.379 1
Nd12 0.819 0.906 0.027 1
Nd13 0.121 0.707 0.527 1
Nd14 0.379 0.406 0.087 1
Nd15 0.087 0.906 0.379 1
Nd16 0.413 0.121 0.594 1
Nd17 0.087 0.181 0.207 1
Nd18 0.473 0.681 0.094 1
Nd19 0.819 0.913 0.293 1
Nd20 0.121 0.413 0.094 1
Nd21 0.379 0.973 0.793 1
Nd22 0.594 0.621 0.413 1
Nd23 0.906 0.819 0.527 1
Nd24 0.793 0.319 0.913 1
Nd25 0.406 0.379 0.587 1
Nd26 0.094 0.181 0.473 1
Nd27 0.207 0.681 0.087 1
Nd28 0.181 0.087 0.707 1
Nd29 0.621 0.027 0.207 1
Nd30 0.879 0.587 0.906 1
Nd31 0.527 0.319 0.906 1
Nd32 0.587 0.879 0.406 1
Nd33 0.913 0.819 0.793 1
Nd34 0.913 0.094 0.621 1
Nd35 0.879 0.293 0.473 1
Nd36 0.181 0.094 0.973 1
Nd37 0.621 0.594 0.913 1
Nd38 0.406 0.027 0.319 1
Nd39 0.293 0.413 0.819 1
Nd40 0.207 0.527 0.621 1
Nd41 0.906 0.087 0.879 1
Nd42 0.681 0.207 0.587 1
Nd43 0.473 0.793 0.879 1
Nd44 0.027 0.406 0.819 1
Nd45 0.413 0.293 0.319 1
Nd46 0.027 0.621 0.707 1
Nd47 0.681 0.473 0.594 1
Nd48 0.293 0.879 0.973 1
# Total magnetic moment ... 0.00 μB/f.u.
# Calculated total energy ... -523.36 eV for the cell shown
# Space-group type ... Ia-3d, No. 230
# Formation energy from raw total energies ... -0.534 eV/atom

---

# Be2TeP, optimized geometry, DFT GGA-PBE
data_Be2TeP
_chemical_formula_sum 'Be2 Te1 P1'
_space_group_name_H-M_alt 'P 1'
_space_group_IT_number 1
_cell_length_a 5.430
_cell_length_b 5.430
_cell_length_c 5.430
_cell_angle_alpha 142.87
_cell_angle_beta 84.04
_cell_angle_gamma 107.85
loop_
_space_group_symop_operation_xyz
'x,y,z'
loop_
_atom_site_label
_atom_site_fract_x
_atom_site_fract_y
_atom_site_fract_z
_atom_site_occupancy
P1 0.750 0.250 0.500 1
Te1 0.250 0.750 0.500 1
Be1 0.937 0.937 0.000 1
Be2 0.563 0.563 0.000 1
# Total magnetic moment ... 0.00 μB/f.u.
# Calculated total energy ... -14.23 eV for the cell shown
# Space-group type ... Immm, No. 71
# Energy above the lowest structure with this stoichiometry ... 574 meV per atom
# Formation energy from raw total energies ... 0.444 eV/atom

---

# TaGe2As, optimized geometry, DFT GGA-PBE
data_TaGe2As
_chemical_formula_sum 'Ta2 Ge4 As2'
_space_group_name_H-M_alt 'P 1'
_space_group_IT_number 1
_cell_length_a 5.978
_cell_length_b 5.978
_cell_length_c 7.122
_cell_angle_alpha 65.19
_cell_angle_beta 65.19
_cell_angle_gamma 90.00
loop_
_space_group_symop_operation_xyz
'x,y,z'
loop_
_atom_site_label
_atom_site_fract_x
_atom_site_fract_y
_atom_site_fract_z
_atom_site_occupancy
As1 0.500 0.500 0.000 1
As2 0.250 0.750 0.500 1
Ge1 0.624 0.125 0.250 1
Ge2 0.126 0.625 0.250 1
Ge3 0.375 0.376 0.750 1
Ge4 0.875 0.874 0.750 1
Ta1 0.000 0.000 0.000 1
Ta2 0.750 0.250 0.500 1
# Calculated formation energy ... 236.8 kJ/mol of formula units
# Total magnetic moment ... 0.00 μB/f.u.
# Calculated total energy ... -46.57 eV for the cell shown
# Space-group type ... I-42d, No. 122

---

# Fe2AgW, optimized geometry, DFT GGA-PBE
data_Fe2AgW
_chemical_formula_sum 'Fe4 Ag2 W2'
_space_group_name_H-M_alt 'P 1'
_space_group_IT_number 1
_cell_length_a 6.714
_cell_length_b 6.714
_cell_length_c 5.460
_cell_angle_alpha 52.06
_cell_angle_beta 52.06
_cell_angle_gamma 90.00
loop_
_space_group_symop_operation_xyz
'x,y,z'
loop_
_atom_site_label
_atom_site_fract_x
_atom_site_fract_y
_atom_site_fract_z
_atom_site_occupancy
Ag1 0.500 0.500 0.000 1
Ag2 0.250 0.750 0.500 1
W1 0.000 0.000 0.000 1
W2 0.750 0.250 0.500 1
Fe1 0.655 0.125 0.250 1
Fe2 0.095 0.625 0.250 1
Fe3 0.375 0.345 0.750 1
Fe4 0.875 0.905 0.750 1
# Calculated formation energy ... 361.0 kJ/mol of formula units
# Total magnetic moment ... 1.68 μB/f.u.
# Calculated total energy ... -57.98 eV for the cell shown
# Space-group type ... I-42d, No. 122
# Energy above the lowest structure with this stoichiometry ... 636 meV per atom

---

# Ta6VGa5, optimized geometry, DFT GGA-PBE
data_Ta6VGa5
_chemical_formula_sum 'Ta6 V1 Ga5'
_space_group_name_H-M_alt 'P 1'
_space_group_IT_number 1
_cell_length_a 3.656
_cell_length_b 9.164
_cell_length_c 7.929
_cell_angle_alpha 54.70
_cell_angle_beta 76.67
_cell_angle_gamma 66.48
loop_
_space_group_symop_operation_xyz
'x,y,z'
loop_
_atom_site_label
_atom_site_fract_x
_atom_site_fract_y
_atom_site_fract_z
_atom_site_occupancy
Ta1 0.745 0.088 0.334 1
Ta2 0.255 0.578 0.334 1
Ta3 0.251 0.249 0.000 1
Ta4 0.749 0.751 0.000 1
Ta5 0.745 0.422 0.666 1
Ta6 0.255 0.912 0.666 1
V1 0.000 0.000 0.000 1
Ga1 0.500 0.156 0.687 1
Ga2 0.000 0.331 0.339 1
Ga3 0.500 0.500 0.000 1
Ga4 0.000 0.669 0.661 1
Ga5 0.500 0.844 0.313 1
# Calculated formation energy ... -165.9 kJ/mol of formula units
# Total magnetic moment ... 0.00 μB/f.u.
# Calculated total energy ... -97.09 eV for the cell shown
# Space-group type ... Immm, No. 71